Entry from Alexandria: a relaxed Ac2PrSm crystal (PBE).

Computed properties:
- Energy relative to the elements: 0.030 eV/atom
- Total energy: -4.398 eV per atom
- Mass density: 7.81 Mg/m³
- Total magnetic moment: 0.0 Bohr magnetons per cell

CIF file:
```
data_Ac2PrSm
_chemical_formula_sum 'Ac2 Pr1 Sm1'
_space_group_name_H-M_alt 'P 4/m m m'
_space_group_IT_number 123
_space_group_name_Hall '-P 4 2'
_cell_length_a 3.8728
_cell_length_b 3.8728
_cell_length_c 10.5702
_cell_angle_alpha 90.00
_cell_angle_beta 90.00
_cell_angle_gamma 90.00
loop_
_atom_site_label
_atom_site_fract_x
_atom_site_fract_y
_atom_site_fract_z
Ac1 0.0000 0.0000 0.2472
Pr1 0.5000 0.5000 0.5000
Sm1 0.5000 0.5000 0.0000
```